The following is a GGA-PBE calculation of a relaxed structure of AlBiSe2, from the Alexandria database.

- space group = C2/c, No. 15
- crystal system = monoclinic
- relative energy among the computed polymorphs (eV per atom) = 0.000
- final energy (eV/atom) = -4.233

```
AlBiSe2
1.0
3.629 -0.001 0.773
-0.166 6.368 0.770
-0.009 -0.022 8.908
Al Se Bi
2 4 2
direct
0.537 0.671 0.302
0.037 0.171 0.302
0.626 0.364 0.140
0.963 0.477 0.464
0.449 0.977 0.464
0.112 0.864 0.140
0.225 0.921 0.802
0.850 0.421 0.802
```

The following is a GGA-PBE calculation of a relaxed structure of Ti2TcF, from the Alexandria database.

- space group = I-42d, No. 122
- crystal system = tetragonal
- relative energy among the computed polymorphs (eV per atom) = 0.000
- final energy (eV/atom) = -7.668

```
Ti2TcF
1.0
6.032 0.000 0.000
0.000 6.032 0.000
3.016 3.016 3.286
F Tc Ti
2 2 4
direct
0.500 0.500 0.000
0.250 0.750 0.500
0.750 0.250 0.500
0.000 0.000 0.000
0.567 0.125 0.250
0.875 0.817 0.750
0.375 0.433 0.750
0.183 0.625 0.250
```

The following is a GGA-PBE calculation of a relaxed structure of YZnGa2, from the Alexandria database.

- space group = I-42d, No. 122
- crystal system = tetragonal
- ΔE_f (eV/f.u.) = -0.66
- final energy (eV/atom) = -3.612

```
YZnGa2
1.0
-3.412 2.169 -1.994
0.917 -2.117 -3.873
-6.732 -6.511 -0.658
Zn Ga Y
2 4 2
direct
0.500 0.500 0.000
0.250 0.750 0.500
0.514 0.125 0.250
0.375 0.486 0.750
0.236 0.625 0.250
0.875 0.764 0.750
0.750 0.250 0.500
0.000 0.000 0.000
```

The following is a GGA-PBE calculation of a relaxed structure of Rb2ZrGeBr6, from the Alexandria database.

- space group = I4/mmm, No. 139
- crystal system = tetragonal
- final energy (eV/atom) = -3.634

```
Rb2ZrGeBr6
1.0
7.802 0.000 0.000
0.000 7.802 0.000
3.901 3.901 6.127
Br Rb Ge Zr
6 2 1 1
direct
0.753 0.247 0.000
0.247 0.247 0.000
0.221 0.221 0.558
0.247 0.753 0.000
0.779 0.779 0.442
0.753 0.753 0.000
0.750 0.250 0.500
0.250 0.750 0.500
0.500 0.500 0.000
0.000 0.000 0.000
```

Table of density (g cm⁻³), in record order: 6.35 5.91 5.44 3.63